Rb5BiS5 | GGA-PBE | optimized geometry

a b c (Å): 6.3497 8.1687 9.0170
angles (deg): 107.74 90.00 112.87
Last column: nearest neighbours and their distance in Å.
Element x y z (fractional)
S (0.1374, 0.2749, 0.2839)  1 Bi 2.71
S (0.8626, 0.7251, 0.7161)  1 Bi 2.71
S (0.8700, 0.7399, 0.1395)  1 Bi 2.65
S (0.5000, 0.0000, 0.0000)  2 Bi 3.17, 4 Rb 3.24-3.31
S (0.1300, 0.2601, 0.8605)  1 Bi 2.65
Rb (0.0000, 0.0000, 0.5000)  4 S 3.19-3.28
Rb (0.3085, 0.6170, 0.6991)  4 S 3.24-3.45
Rb (0.3293, 0.6586, 0.1556)  5 S 3.25-3.45
Rb (0.6707, 0.3414, 0.8444)  5 S 3.25-3.45
Rb (0.6915, 0.3830, 0.3009)  4 S 3.24-3.45
Bi (0.0000, 0.0000, 0.0000)  4 S 2.65-2.71

Output
- density of states at the Fermi level (states/eV/f.u.) = 13.33
- space group = C2/m (12)
- formation energy (no corrections) (eV per atom) = -0.676


Rb3BiS3 | GGA-PBE | optimized geometry

a b c (Å): 6.7073 10.6605 10.6604
angles (deg): 119.89 90.00 90.00
Last column: nearest neighbours and their distance in Å.
Element x y z (fractional)
Bi (0.7500, 0.3331, 0.6669)  3 S 2.63
Bi (0.2500, 0.6669, 0.3331)  3 S 2.63
Rb (0.2500, 0.1679, 0.8328)  4 S 3.33-3.38
Rb (0.2500, 0.1678, 0.3362)  4 S 3.33-3.38
Rb (0.7500, 0.8322, 0.6638)  4 S 3.33-3.38
Rb (0.2500, 0.6638, 0.8315)  4 S 3.33-3.38
Rb (0.7500, 0.8321, 0.1672)  4 S 3.33-3.38
Rb (0.7500, 0.3362, 0.1685)  4 S 3.33-3.38
S (0.7500, 0.1905, 0.3819)  1 Bi 2.63
S (0.7500, 0.6180, 0.8088)  1 Bi 2.63
S (0.2500, 0.8095, 0.6181)  1 Bi 2.63
S (0.2500, 0.8092, 0.1900)  1 Bi 2.63
S (0.2500, 0.3820, 0.1912)  1 Bi 2.63
S (0.7500, 0.1908, 0.8100)  1 Bi 2.63

Output
- density of states at the Fermi level (states/eV/f.u.) = 1.56
- space group = Cmcm (63)
- formation energy (no corrections) (eV per atom) = -0.713


Rb2Bi2S5 | GGA-PBE | optimized geometry

a b c (Å): 5.5696 7.3510 8.7178
angles (deg): 66.94 71.36 67.73
Last column: nearest neighbours and their distance in Å.
Element x y z (fractional)
Bi (0.1306, 0.5942, 0.1447)  5 S 2.65-2.93
Bi (0.8694, 0.4058, 0.8553)  5 S 2.65-2.93
Rb (0.3832, 0.9618, 0.2717)  6 S 3.42-3.76
Rb (0.6168, 0.0382, 0.7283)  6 S 3.42-3.76
S (0.3349, 0.4626, 0.8677)  3 Bi 2.70-2.82
S (0.9301, 0.6613, 0.4784)  1 S 2.11
S (0.0699, 0.3387, 0.5216)  1 S 2.11
S (0.6651, 0.5374, 0.1323)  3 Bi 2.70-2.82
S (0.0000, 0.0000, 0.0000)  2 Bi 2.65

Output
- space group = C2/m (12)
- formation energy (no corrections) (eV per atom) = -0.568


Rb8Bi3S8 | GGA-PBE | optimized geometry

a b c (Å): 6.8446 9.9070 12.8787
angles (deg): 105.86 105.41 90.00
Last column: nearest neighbours and their distance in Å.
Element x y z (fractional)
S (0.0980, 0.9840, 0.1959)  1 Bi 2.64
S (0.2921, 0.1607, 0.5841)  1 Bi 2.64
S (0.5385, 0.2758, 0.0770)  1 Bi 2.66
S (0.8200, 0.5491, 0.6400)  1 Bi 2.61
S (0.9020, 0.0160, 0.8041)  1 Bi 2.64
S (0.1800, 0.4509, 0.3600)  1 Bi 2.61
S (0.4615, 0.7242, 0.9230)  1 Bi 2.66
S (0.7079, 0.8393, 0.4159)  1 Bi 2.64
Rb (0.9634, 0.7537, 0.9267)  5 S 3.36-3.56
Rb (0.1942, 0.8076, 0.3884)  5 S 3.34-3.65
Rb (0.0366, 0.2463, 0.0733)  5 S 3.36-3.56
Rb (0.3273, 0.5160, 0.6545)  5 S 3.38-3.53
Rb (0.4121, 0.0386, 0.8242)  5 S 3.35-3.66
Rb (0.5879, 0.9614, 0.1758)  5 S 3.35-3.66
Rb (0.8058, 0.1924, 0.6116)  5 S 3.34-3.65
Rb (0.6727, 0.4840, 0.3455)  5 S 3.38-3.53
Bi (0.8094, 0.8035, 0.6187)  3 S 2.61-2.64
Bi (0.5000, 0.5000, 0.0000)  2 S 2.66
Bi (0.1906, 0.1965, 0.3813)  3 S 2.61-2.64

Output
- density of states at the Fermi level (states/eV/f.u.) = 13.39
- space group = C2/m (12)
- formation energy (no corrections) (eV per atom) = -0.687


RbBi4S6 | GGA-PBE | optimized geometry

a b c (Å): 7.8182 7.8182 7.8182
angles (deg): 83.19 124.01 124.01
Last column: nearest neighbours and their distance in Å.
Element x y z (fractional)
Bi (0.3563, 0.7947, 0.7947)  3 S 2.67-2.75
Bi (0.0000, 0.2053, 0.5616)  3 S 2.67-2.75
Bi (0.6437, 0.4384, 0.4384)  3 S 2.67-2.75
Bi (0.0000, 0.5616, 0.2053)  3 S 2.67-2.75
S (0.0000, 0.8704, 0.5223)  3 Bi 2.67-2.75
S (0.5000, 0.0000, 0.5000)  4 Bi 3.02
S (0.5000, 0.5000, 0.0000)  4 Bi 3.02
S (0.0000, 0.5223, 0.8704)  3 Bi 2.67-2.75
S (0.6518, 0.1296, 0.1296)  3 Bi 2.67-2.75
S (0.3482, 0.4777, 0.4777)  3 Bi 2.67-2.75
Rb (0.0000, 0.0000, 0.0000)  4 Bi 3.61, 8 S 3.67-3.98

Output
- density of states at the Fermi level (states/eV/f.u.) = 2.06
- ΔE to the lowest computed polymorph (meV/atom) = 198.0
- space group = I-42m (121)
- formation energy (no corrections) (eV per atom) = -0.269


Rb2BiS4 | GGA-PBE | optimized geometry

a b c (Å): 5.3700 5.3700 9.1473
angles (deg): 72.93 72.93 90.00
Last column: nearest neighbours and their distance in Å.
Element x y z (fractional)
S (0.5000, 0.0000, 0.0000)  2 Bi 2.69
S (0.1537, 0.1537, 0.6926)  1 Bi 2.56
S (0.0000, 0.5000, 0.0000)  2 Bi 2.69
S (0.8463, 0.8463, 0.3074)  1 Bi 2.56
Bi (0.0000, 0.0000, 0.0000)  6 S 2.56-2.69
Rb (0.3610, 0.3610, 0.2780)  9 S 3.45-3.81
Rb (0.6390, 0.6390, 0.7220)  9 S 3.45-3.81

Output
- density of states at the Fermi level (states/eV/f.u.) = 6.76
- space group = I4/mmm (139)
- formation energy (no corrections) (eV per atom) = -0.297


RbBi6S8 | GGA-PBE | optimized geometry

a b c (Å): 8.2168 8.2168 8.2168
angles (deg): 93.83 93.83 93.83
Last column: nearest neighbours and their distance in Å.
Element x y z (fractional)
Bi (0.3991, 0.5570, 0.2061)  4 S 2.71-3.00
Bi (0.6009, 0.4430, 0.7939)  4 S 2.71-3.00
Bi (0.4430, 0.7939, 0.6009)  4 S 2.71-3.00
Bi (0.5570, 0.2061, 0.3991)  4 S 2.71-3.00
Bi (0.2061, 0.3991, 0.5570)  4 S 2.71-3.00
Bi (0.7939, 0.6009, 0.4430)  4 S 2.71-3.00
S (0.2532, 0.2532, 0.2532)  3 Bi 2.76
S (0.6740, 0.4153, 0.1263)  3 Bi 2.71-3.00
S (0.4153, 0.1263, 0.6740)  3 Bi 2.71-3.00
S (0.7468, 0.7468, 0.7468)  3 Bi 2.76
S (0.8737, 0.3260, 0.5847)  3 Bi 2.71-3.00
S (0.3260, 0.5847, 0.8737)  3 Bi 2.71-3.00
S (0.5847, 0.8737, 0.3260)  3 Bi 2.71-3.00
S (0.1263, 0.6740, 0.4153)  3 Bi 2.71-3.00
Rb (0.0000, 0.0000, 0.0000)  2 S 3.35

Output
- density of states at the Fermi level (states/eV/f.u.) = 3.79
- space group = R-3 (148)
- formation energy (no corrections) (eV per atom) = -0.296


RbBi2S2 | GGA-PBE | optimized geometry

a b c (Å): 9.2964 9.2964 3.9571
angles (deg): 90.00 90.00 90.00
Last column: nearest neighbours and their distance in Å.
Element x y z (fractional)
Bi (0.3730, 0.8730, 0.0000)  2 S 2.64
Bi (0.1270, 0.3730, 0.0000)  2 S 2.64
Bi (0.6270, 0.1270, 0.0000)  2 S 2.64
Bi (0.8730, 0.6270, 0.0000)  2 S 2.64
Rb (0.5000, 0.5000, 0.0000)  4 Bi 3.66, 8 S 3.84, 2 Rb 3.96
Rb (0.0000, 0.0000, 0.0000)  4 Bi 3.66, 8 S 3.84, 2 Rb 3.96
S (0.2603, 0.2397, 0.5000)  2 Bi 2.64
S (0.2397, 0.7397, 0.5000)  2 Bi 2.64
S (0.7603, 0.2603, 0.5000)  2 Bi 2.64
S (0.7397, 0.7603, 0.5000)  2 Bi 2.64

Output
- density of states at the Fermi level (states/eV/f.u.) = 3.84
- ΔE to the lowest computed polymorph (meV/atom) = 144.2
- space group = P4/mbm (127)
- formation energy (no corrections) (eV per atom) = -0.179